1.
DFT (PBE) results for an optimized crystal structure of ZrPRh2.

The theoretical density is 8.7 g/cm3. The total energy comes out at -7.58 eV/atom. As for the formation energy: -0.412 eV per atom.

The structure belongs to space group F-43m (No. 216); the cell edges are 6.3079, 6.3079 and 6.3079 Å and the angles 90.00°, 90.00° and 90.00°. The asymmetric unit holds Zr at (0.0000, 0.0000, 0.0000), P at (0.2500, 0.2500, 0.7500), Rh at (0.0000, 0.0000, 0.5000) and Rh at (0.2500, 0.2500, 0.2500).

=====

2.
DFT (PBE) results for an optimized crystal structure of Nb3CrW.

The energy above the lowest structure with this stoichiometry is 0.000 eV per atom. The theoretical density is 9.0 g/cm3. The total energy comes out at -9.41 eV/atom. As for the formation energy: 1.149 eV per atom.

The structure belongs to space group Pm-3m (No. 221); the cell edges are 4.5540, 4.5540 and 4.5540 Å and the angles 90.00°, 90.00° and 90.00°. The asymmetric unit holds Nb at (0.0000, 0.0000, 0.5000), Cr at (0.0000, 0.0000, 0.0000) and W at (0.5000, 0.5000, 0.5000).

=====

3.
DFT (PBE) results for an optimized crystal structure of SmHoPuO6.

The raw formation energy comes out at -2652.5 kJ/mol of formula units. The theoretical density is 7.9 g/cm3. The total energy comes out at -8.99 eV/atom.

The structure belongs to space group P-31c (No. 163); the cell edges are 5.7405, 5.7405 and 9.6440 Å and the angles 90.00°, 90.00° and 120.00°. The asymmetric unit holds Sm at (0.0000, 0.0000, 0.0000), Ho at (0.3333, 0.6667, 0.2500), Pu at (0.3333, 0.6667, 0.7500) and O at (0.0243, 0.3612, 0.6358).

=====

4.
DFT (PBE) results for an optimized crystal structure of Pm2Zn15Ir2.

The theoretical density is 8.9 g/cm3. The total energy comes out at -2.70 eV/atom. As for the formation energy: -0.265 eV per atom.

The structure belongs to space group R-3m (No. 166, hexagonal axes); the cell edges are 9.0142, 9.0142 and 13.1867 Å and the angles 90.00°, 90.00° and 120.00°. The asymmetric unit holds Pm at (0.0000, 0.0000, 0.1663), Zn at (0.0000, 0.2820, 0.5000), Zn at (0.0000, 0.5000, 0.0000), Zn at (0.0000, 0.5000, 0.3497) and Ir at (0.0000, 0.0000, 0.3927).

=====

5.
DFT (PBE) results for an optimized crystal structure of Sr2TcTe.

The raw formation energy comes out at -49.2 kJ/mol of formula units. The theoretical density is 5.3 g/cm3. The total energy comes out at -4.35 eV/atom.

The structure belongs to space group Amm2 (No. 38); the cell edges are 4.3955, 4.7761 and 11.9046 Å and the angles 90.00°, 90.00° and 90.00°. The asymmetric unit holds Sr at (0.0000, 0.0000, 0.0000), Sr at (0.5000, 0.0000, 0.2857), Tc at (0.0000, 0.0000, 0.7087) and Te at (0.5000, 0.0000, 0.5834).

=====

6.
DFT (PBE) results for an optimized crystal structure of Tl2Cr.

The energy above the lowest structure with this stoichiometry is 0.167 eV per atom. The theoretical density is 10.6 g/cm3. The total energy comes out at -4.19 eV/atom. As for the formation energy: 0.591 eV per atom.

The structure belongs to space group Cmcm (No. 63); the cell edges are 3.1434, 25.2581 and 3.6452 Å and the angles 90.00°, 90.00° and 90.00°. The asymmetric unit holds Tl at (0.0000, 0.0849, 0.2500), Tl at (0.0000, 0.1933, 0.7500) and Cr at (0.0000, 0.4759, 0.2500).